# 1
Tb2Er9Tm3 (GGA-PBE, optimized geometry); calculated density = 8.9 g/cm³; DFT formation energy = 127 meV/atom
1.0
8.3021 -2.7368 0.0000
8.3021 2.7368 0.0000
-2.3044 0.0000 9.5812
Tb Er Tm
2 9 3
Direct
0.0532 0.0532 0.2711
0.9468 0.9468 0.7289
0.1280 0.1280 0.9905
0.2670 0.2670 0.4268
0.3077 0.3077 0.7939
0.3349 0.3349 0.1574
0.5000 0.5000 0.0000
0.6651 0.6651 0.8426
0.6923 0.6923 0.2061
0.7330 0.7330 0.5732
0.8720 0.8720 0.0095
0.1194 0.1194 0.6203
0.5000 0.5000 0.5000
0.8806 0.8806 0.3797

***

# 2
TlGa2S (GGA-PBE, optimized geometry); relative energy among the computed polymorphs = 0 meV/atom; calculated density = 6.1 g/cm³; raw formation energy = -0.13 eV/atom
1.0
1.7656 1.0193 9.4718
-1.7656 1.0193 9.4718
0.0000 -2.0387 9.4718
Tl Ga S
1 2 1
Direct
0.0000 0.0000 0.0000
0.1085 0.1085 0.1085
0.8915 0.8915 0.8915
0.5000 0.5000 0.5000

***

# 3
SrZn2Ni (GGA-PBE, optimized geometry); calculated density = 5.4 g/cm³; DFT formation energy = -228 meV/atom
1.0
3.7187 -2.1480 0.0000
3.7187 2.1480 0.0000
-2.5028 0.0000 5.3835
Sr Zn Ni
1 2 1
Direct
0.0000 0.0000 0.0000
0.1892 0.1892 0.5690
0.4836 0.4836 0.4528
0.8119 0.8119 0.4379